20
Lattice="15.434 0.000 4.529 5.413 5.444 -0.597 -5.413 5.444 0.597" Properties=species:S:1:pos:R:3 comment="CaBPd3 (PBE, relaxed)" total_magnetization_mub_per_cell=0.00 dos_ef_per_ev_cell=7.4 total_energy_ev_per_atom=-5.230 formation_enthalpy_0k_ev_per_atom=-0.378 pbc="T T T"
Ca 3.838 4.411 1.907
Ca -1.534 4.411 0.954
Ca 11.596 6.477 2.622
Ca 16.968 6.477 3.575
B 8.869 5.164 3.695
B 6.565 5.724 0.834
B 8.869 8.150 3.695
B 6.565 2.738 0.834
Pd 6.932 4.247 2.251
Pd 0.785 9.691 0.014
Pd 8.502 6.641 2.278
Pd 14.649 1.197 4.515
Pd 2.071 1.721 0.361
Pd 5.646 7.165 1.904
Pd 13.363 9.167 4.168
Pd 9.787 3.723 2.625
Pd 16.066 3.561 3.389
Pd 12.497 3.561 2.808
Pd -0.632 7.327 1.140
Pd 2.937 7.327 1.721